A geometry-optimized RbLiPd4 structure. Source: Alexandria via LeMat-Bulk, functional GGA-PBE.

Output
The value obtained for the formation energy is 7 meV per atom. Its energy is -3.935 eV per atom.

Lattice parameters (Å, degrees): 5.500 5.500 5.500 60.00 60.00 60.00
Atoms (fractional coordinates):
Rb 0.250 0.250 0.250
Pd 0.626 0.123 0.626
Pd 0.626 0.626 0.123
Pd 0.626 0.626 0.626
Pd 0.123 0.626 0.626
Li 0.000 0.000 0.000

A geometry-optimized RbLi3Pd structure. Source: Alexandria via LeMat-Bulk, functional GGA-PBE.

Output
The value obtained for the formation energy is 915 meV per atom. Its energy is -1.465 eV per atom.

Lattice parameters (Å, degrees): 4.890 4.890 4.890 90.00 90.00 90.00
Atoms (fractional coordinates):
Pd 0.500 0.500 0.500
Li 0.500 0.000 0.000
Li 0.000 0.500 0.000
Li 0.000 0.000 0.500
Rb 0.000 0.000 0.000

A geometry-optimized RbLi3Pd structure. Source: Alexandria via LeMat-Bulk, functional GGA-PBE.

Output
The value obtained for the formation energy is -48 meV per atom. Its energy is -2.428 eV per atom.

Lattice parameters (Å, degrees): 5.128 5.128 5.128 90.00 90.00 90.00
Atoms (fractional coordinates):
Rb 0.500 0.500 0.500
Li 0.000 0.500 0.000
Li 0.000 0.000 0.500
Li 0.500 0.000 0.000
Pd 0.000 0.000 0.000

A geometry-optimized RbLiPd3 structure. Source: Alexandria via LeMat-Bulk, functional GGA-PBE.

Output
The value obtained for the formation energy is 301 meV per atom. Its energy is -3.391 eV per atom.

Lattice parameters (Å, degrees): 4.653 4.653 4.653 90.00 90.00 90.00
Atoms (fractional coordinates):
Li 0.000 0.000 0.000
Pd 0.000 0.000 0.500
Pd 0.500 0.000 0.000
Pd 0.000 0.500 0.000
Rb 0.500 0.500 0.500

A geometry-optimized Rb2LiPd structure. Source: Alexandria via LeMat-Bulk, functional GGA-PBE.

Output
The value obtained for the formation energy is 92 meV per atom. Its energy is -2.168 eV per atom.

Lattice parameters (Å, degrees): 12.781 12.781 9.361 46.95 46.95 90.00
Atoms (fractional coordinates):
Rb 0.875 0.052 0.750
Rb 0.375 0.198 0.750
Rb 0.802 0.125 0.250
Rb 0.948 0.625 0.250
Li 0.250 0.750 0.500
Li 0.500 0.500 0.000
Pd 0.000 0.000 0.000
Pd 0.750 0.250 0.500

A geometry-optimized RbLiPd3 structure. Source: Alexandria via LeMat-Bulk, functional GGA-PBE.

Output
The value obtained for the formation energy is 1192 meV per atom. Its energy is -2.500 eV per atom.

Lattice parameters (Å, degrees): 5.265 5.265 5.265 90.00 90.00 90.00
Atoms (fractional coordinates):
Pd 0.000 0.000 0.500
Pd 0.500 0.000 0.000
Pd 0.000 0.500 0.000
Li 0.500 0.500 0.500
Rb 0.000 0.000 0.000

A geometry-optimized RbLiPd2Ru structure. Source: Alexandria via LeMat-Bulk, functional GGA-PBE.

Output
The value obtained for the formation energy is 606 meV per atom. Its energy is -3.902 eV per atom.

Lattice parameters (Å, degrees): 4.913 5.035 4.913 90.00 90.00 90.00
Atoms (fractional coordinates):
Pd 0.000 0.000 0.500
Pd 0.500 0.000 0.000
Li 0.000 0.500 0.000
Rb 0.500 0.500 0.500
Ru 0.000 0.000 0.000

A geometry-optimized RbLi2SbPd structure. Source: Alexandria via LeMat-Bulk, functional GGA-PBE.

Output
The calculation puts the raw formation energy at -0.32 eV/atom. Its energy is -3.144 eV per atom.

Lattice parameters (Å, degrees): 5.259 5.218 5.259 90.00 90.00 90.00
Atoms (fractional coordinates):
Rb 0.500 0.500 0.500
Li 0.500 0.000 0.000
Li 0.000 0.000 0.500
Sb 0.000 0.000 0.000
Pd 0.000 0.500 0.000

A geometry-optimized RbLiSc2Pd structure. Source: Alexandria via LeMat-Bulk, functional GGA-PBE.

Output
The value obtained for the formation energy is 1411 meV per atom. Its energy is -2.737 eV per atom.

Lattice parameters (Å, degrees): 5.222 5.112 5.222 90.00 90.00 90.00
Atoms (fractional coordinates):
Sc 0.000 0.000 0.500
Sc 0.500 0.000 0.000
Li 0.500 0.500 0.500
Rb 0.000 0.000 0.000
Pd 0.000 0.500 0.000

A geometry-optimized RbSrLi2Pd structure. Source: Alexandria via LeMat-Bulk, functional GGA-PBE.

Output
The value obtained for the formation energy is -33 meV per atom. Its energy is -2.367 eV per atom.

Lattice parameters (Å, degrees): 5.523 5.523 5.718 90.00 90.00 90.00
Atoms (fractional coordinates):
Li 0.000 0.500 0.000
Li 0.500 0.000 0.000
Sr 0.000 0.000 0.500
Pd 0.000 0.000 0.000
Rb 0.500 0.500 0.500

A geometry-optimized RbLi2TlPd structure. Source: Alexandria via LeMat-Bulk, functional GGA-PBE.

Output
The value obtained for the formation energy is -127 meV per atom. Its energy is -2.598 eV per atom.

Lattice parameters (Å, degrees): 5.212 5.212 5.315 90.00 90.00 90.00
Atoms (fractional coordinates):
Li 0.000 0.500 0.000
Li 0.500 0.000 0.000
Rb 0.500 0.500 0.500
Pd 0.000 0.000 0.000
Tl 0.000 0.000 0.500

A geometry-optimized RbLiPdW2 structure. Source: Alexandria via LeMat-Bulk, functional GGA-PBE.

Output
The value obtained for the formation energy is 3322 meV per atom. Its energy is -3.474 eV per atom.

Lattice parameters (Å, degrees): 4.800 5.081 4.800 90.00 90.00 90.00
Atoms (fractional coordinates):
Li 0.500 0.500 0.500
W 0.000 0.000 0.500
W 0.500 0.000 0.000
Rb 0.000 0.000 0.000
Pd 0.000 0.500 0.000

Look up the energy of the ninth one. -2.737 eV per atom

Which of these has the lowest energy? RbLiPd4

What did the first record say?
A geometry-optimized RbLiPd4 structure. Source: Alexandria via LeMat-Bulk, functional GGA-PBE.

Output
The value obtained for the formation energy is 7 meV per atom. Its energy is -3.935 eV per atom.

Lattice parameters (Å, degrees): 5.500 5.500 5.500 60.00 60.00 60.00
Atoms (fractional coordinates):
Rb 0.250 0.250 0.250
Pd 0.626 0.123 0.626
Pd 0.626 0.626 0.123
Pd 0.626 0.626 0.626
Pd 0.123 0.626 0.626
Li 0.000 0.000 0.000